Mn2Tl3SbO6: optimized geometry, GGA+U.

The calculation puts the magnetic moment at 10.0 μB per formula unit. The value obtained for the total energy is -5.84 eV per atom.

It has space group C2/m (No. 12), with a = 5.710 Å, b = 9.957 Å, c = 6.737 Å, α = 90.00°, β = 105.53° and γ = 90.00°. The inequivalent atoms are Mn at (0.000, 0.167, 0.000), Tl at (0.000, 0.000, 0.500), Tl at (0.000, 0.330, 0.500), Sb at (0.000, 0.500, 0.000), O at (0.209, 0.349, 0.162) and O at (0.244, 0.500, 0.823).